# RuPt2 PBE-GGA relaxed
# VASP energy ... -21.3 eV/cell
# Formation energy ... 0.01 eV/atom
data_RuPt2
_space_group_name_H-M_alt 'P -3 m 1'
_space_group_IT_number 164
_space_group_name_Hall '-P 3 2"'
_cell_length_a 2.7764
_cell_length_b 2.7764
_cell_length_c 6.7758
_cell_angle_alpha 90.00
_cell_angle_beta 90.00
_cell_angle_gamma 120.00
loop_
_atom_site_label
_atom_site_type_symbol
_atom_site_fract_x
_atom_site_fract_y
_atom_site_fract_z
Ru1 Ru 0.0000 0.0000 0.0000
Pt1 Pt 0.3333 0.6667 0.6763

---

# Ac2PrTe3 PBE-GGA relaxed
# Excess energy over the best structure of this formula in the dataset ... 8.4 meV per atom
# VASP energy ... -62.4 eV/cell
data_Ac2PrTe3
_space_group_name_H-M_alt 'P 63/m m c'
_space_group_IT_number 194
_space_group_name_Hall '-P 6c 2c'
_cell_length_a 4.5599
_cell_length_b 4.5599
_cell_length_c 23.9561
_cell_angle_alpha 90.00
_cell_angle_beta 90.00
_cell_angle_gamma 120.00
loop_
_atom_site_label
_atom_site_type_symbol
_atom_site_fract_x
_atom_site_fract_y
_atom_site_fract_z
Ac1 Ac 0.3333 0.6667 0.0855
Pr1 Pr 0.0000 0.0000 0.2500
Te1 Te 0.0000 0.0000 0.0000
Te2 Te 0.3333 0.6667 0.6707

---

# Ca2VGa PBE-GGA relaxed
# VASP energy ... -56.8 eV/cell
# Formation energy ... 0.49 eV/atom
data_Ca2VGa
_space_group_name_H-M_alt 'I -4 2 d'
_space_group_IT_number 122
_space_group_name_Hall 'I -4 2bw'
_cell_length_a 8.303
_cell_length_b 8.303
_cell_length_c 6.052
_cell_angle_alpha 90.00
_cell_angle_beta 90.00
_cell_angle_gamma 90.00
loop_
_atom_site_label
_atom_site_type_symbol
_atom_site_fract_x
_atom_site_fract_y
_atom_site_fract_z
Ca1 Ca 0.236 0.250 0.125
V1 V 0.000 0.000 0.500
Ga1 Ga 0.000 0.000 0.000

---

no.,V (Å³ per atom)
1,15.08
2,35.95
3,26.08